No. 1
AgC: relaxed, GGA-PBE.

Values from the calculation:
SG: P6_3/mmc
Excess energy over the best structure of this formula in the dataset: 0.000 eV per atom

a = 5.209 Å, b = 5.209 Å, c = 2.617 Å
α = 90.00°, β = 90.00°, γ = 120.00°
Element x y z (fractional)
Ag  0.333  0.667  0.250
Ag  0.667  0.333  0.750
C  0.000  0.000  0.000
C  0.000  0.000  0.500

=====

No. 2
Ag14C: relaxed, GGA-PBE.

Values from the calculation:
SG: R-3m
E_tot: -2.76 eV/atom

a = 6.761 Å, b = 6.761 Å, c = 6.761 Å
α = 76.30°, β = 76.30°, γ = 76.30°
Element x y z (fractional)
Ag  0.147  0.147  0.147
Ag  0.175  0.500  0.825
Ag  0.175  0.825  0.500
Ag  0.215  0.215  0.563
Ag  0.215  0.563  0.215
Ag  0.437  0.785  0.785
Ag  0.500  0.175  0.825
Ag  0.500  0.825  0.175
Ag  0.563  0.215  0.215
Ag  0.785  0.437  0.785
Ag  0.785  0.785  0.437
Ag  0.825  0.175  0.500
Ag  0.825  0.500  0.175
Ag  0.853  0.853  0.853
C  0.000  0.000  0.000

=====

No. 3
AgC: relaxed, GGA-PBE.

Values from the calculation:
SG: Fm-3m
Excess energy over the best structure of this formula in the dataset: 1.268 eV per atom

a = 3.290 Å, b = 3.290 Å, c = 3.290 Å
α = 60.00°, β = 60.00°, γ = 60.00°
Element x y z (fractional)
Ag  0.000  0.000  0.000
C  0.500  0.500  0.500